Entry from Alexandria via LeMat-Bulk: an optimized crystal structure of Ac2Tb3Pr3 (GGA-PBE).

ρ   7.4 Mg/m³
Space-group type   No. 63
Total magnetic moment   0.00 μB per cell
Energy relative to the elements   0.15 eV per atom

Lattice parameters (Å, degrees): 9.0526 9.0526 17.7785 90.00 90.00 155.47
With the nearest neighbours (Å) after each atom.
Positions (direct):
Ac  0.2483  0.7517  0.6064  4 Pr 3.47-3.79, 2 Ac 3.85
Ac  0.2483  0.7517  0.8936  4 Pr 3.47-3.79, 2 Ac 3.85
Ac  0.7517  0.2483  0.1064  4 Pr 3.47-3.79, 2 Ac 3.85
Ac  0.7517  0.2483  0.3936  4 Pr 3.47-3.79, 2 Ac 3.85
Tb  0.0925  0.9075  0.2500  3 Pr 3.67-3.73, 6 Tb 3.85-3.86
Tb  0.4568  0.5432  0.1191  6 Pr 3.28-3.54
Tb  0.4568  0.5432  0.3809  6 Pr 3.28-3.54
Tb  0.5432  0.4568  0.6191  6 Pr 3.28-3.54
Tb  0.5432  0.4568  0.8809  6 Pr 3.28-3.54
Tb  0.9075  0.0925  0.7500  3 Pr 3.67-3.73, 6 Tb 3.85-3.86
Pr  0.0933  0.9067  0.0404  5 Tb 3.39-3.73, 3 Ac 3.60-3.79, 1 Pr 3.60
Pr  0.0933  0.9067  0.4596  5 Tb 3.39-3.73, 3 Ac 3.60-3.79, 1 Pr 3.60
Pr  0.1151  0.8849  0.7500  4 Tb 3.28, 2 Ac 3.47
Pr  0.8849  0.1151  0.2500  4 Tb 3.28, 2 Ac 3.47
Pr  0.9067  0.0933  0.5404  5 Tb 3.39-3.73, 3 Ac 3.60-3.79, 1 Pr 3.60
Pr  0.9067  0.0933  0.9596  5 Tb 3.39-3.73, 3 Ac 3.60-3.79, 1 Pr 3.60